Below is a relaxed structure of P2PbSN, with properties calculated at the PBE-GGA level.

Values from the calculation:
E_form (uncorrected) in eV per atom: 2.2359
Polymorph energy (0 for the lowest one) in meV per atom: 1333.5

Unit cell a=5.6016 b=5.6016 c=5.5954 alpha=90.00 beta=90.00 gamma=90.00
With the nearest neighbours (Å) after each atom.
Atoms (fractional coordinates):
Pb1 0.0000 0.0000 0.0000  2 S 2.80, 4 P 2.80
P1 0.0000 0.5000 0.0000  2 Pb 2.80
P2 0.5000 0.0000 0.0000  2 Pb 2.80
S1 0.0000 0.0000 0.5000  2 Pb 2.80
N1 0.5000 0.5000 0.5000  8 P 3.96, 4 S 3.96



Below is a relaxed structure of AlTc, with properties calculated at the PBE-GGA level.

Values from the calculation:
Polymorph energy (0 for the lowest one) in meV per atom: 105.8

Unit cell a=5.1458 b=5.1458 c=5.1458 alpha=145.25 beta=131.29 gamma=61.22
With the nearest neighbours (Å) after each atom.
Atoms (fractional coordinates):
Tc1 0.8804 0.1304 0.2500  2 Tc 2.62, 6 Al 2.62-2.66
Tc2 0.1196 0.8696 0.7500  2 Tc 2.62, 6 Al 2.62-2.66
Al1 0.3644 0.6144 0.2500  6 Tc 2.62-2.66, 4 Al 2.85-2.93
Al2 0.6356 0.3856 0.7500  6 Tc 2.62-2.66, 4 Al 2.85-2.93



Below is a relaxed structure of CdFeAu2, with properties calculated at the PBE-GGA level.

Unit cell a=4.6192 b=4.6192 c=4.6192 alpha=60.00 beta=60.00 gamma=60.00
With the nearest neighbours (Å) after each atom.
Atoms (fractional coordinates):
Au1 0.0000 0.0000 0.0000  4 Fe 2.83, 4 Au 2.83
Au2 0.7500 0.7500 0.7500  4 Cd 2.83, 4 Au 2.83
Cd1 0.5000 0.5000 0.5000  4 Fe 2.83, 4 Au 2.83
Fe1 0.2500 0.2500 0.2500  4 Cd 2.83, 4 Au 2.83



Number 1: total moment 5.31 μB per cell, total DFT energy (no corrections) -3.1603 eV per atom, volume 175.6 Å³ per cell. Number 2: total moment 0.00 μB per cell, total DFT energy (no corrections) -7.3610 eV per atom, volume 57.8 Å³ per cell. Number 3: total moment 3.11 μB per cell, total DFT energy (no corrections) -3.8286 eV per atom, volume 69.7 Å³ per cell.